[1]
Here is an optimized crystal structure of Tl2NiPb2 from the Alexandria database. Energies are from PBE.

Computed properties:
- ΔE to the lowest computed polymorph: 0 meV/atom
- ρ: 10.382 g/cm3

CIF file:
```
data_Tl2NiPb2
_cell_length_a 7.026
_cell_length_b 7.026
_cell_length_c 5.714
_cell_angle_alpha 90.00
_cell_angle_beta 90.00
_cell_angle_gamma 90.00
_space_group_name_H-M_alt 'P 4/m b m'
_space_group_IT_number 127
_space_group_name_Hall '-P 4 2ab'
loop_
_atom_site_label
_atom_site_type_symbol
_atom_site_fract_x
_atom_site_fract_y
_atom_site_fract_z
Tl1 Tl 0.166 0.334 0.000
Ni1 Ni 0.000 0.000 0.500
Pb1 Pb 0.165 0.665 0.500
```

---

[2]
Here is an optimized crystal structure of SmIn5 from the Alexandria database. Energies are from PBE.

Computed properties:
- ΔE to the lowest computed polymorph: 0 meV/atom
- ρ: 7.677 g/cm3

CIF file:
```
data_SmIn5
_cell_length_a 4.707
_cell_length_b 14.048
_cell_length_c 4.739
_cell_angle_alpha 90.00
_cell_angle_beta 90.00
_cell_angle_gamma 90.00
_space_group_name_H-M_alt 'C m m m'
_space_group_IT_number 65
_space_group_name_Hall '-C 2 2'
loop_
_atom_site_label
_atom_site_type_symbol
_atom_site_fract_x
_atom_site_fract_y
_atom_site_fract_z
Sm1 Sm 0.000 0.000 0.000
In1 In 0.000 0.169 0.500
In2 In 0.000 0.331 0.000
In3 In 0.000 0.500 0.500
```

---

[3]
Here is an optimized crystal structure of NaSr2Li2Hg from the Alexandria database. Energies are from PBE.

Computed properties:
- Uncorrected energy: -1.5849 eV per atom
- ρ: 3.381 g/cm3

CIF file:
```
data_NaSr2Li2Hg
_cell_length_a 7.408
_cell_length_b 15.152
_cell_length_c 7.223
_cell_angle_alpha 90.00
_cell_angle_beta 90.00
_cell_angle_gamma 90.00
_space_group_name_H-M_alt 'I b a m'
_space_group_IT_number 72
_space_group_name_Hall '-I 2 2c'
loop_
_atom_site_label
_atom_site_type_symbol
_atom_site_fract_x
_atom_site_fract_y
_atom_site_fract_z
Na1 Na 0.000 0.000 0.250
Sr1 Sr 0.211 0.331 0.000
Li1 Li 0.223 0.408 0.500
Hg1 Hg 0.000 0.500 0.250
```

---

[4]
Here is an optimized crystal structure of NaLi2SmAs2 from the Alexandria database. Energies are from PBE.

Computed properties:
- Uncorrected energy: -4.1102 eV per atom
- ρ: 4.705 g/cm3

CIF file:
```
data_NaLi2SmAs2
_cell_length_a 4.3719
_cell_length_b 4.3719
_cell_length_c 7.1867
_cell_angle_alpha 90.00
_cell_angle_beta 90.00
_cell_angle_gamma 120.00
_space_group_name_H-M_alt 'P -3 m 1'
_space_group_IT_number 164
_space_group_name_Hall '-P 3 2"'
loop_
_atom_site_label
_atom_site_type_symbol
_atom_site_fract_x
_atom_site_fract_y
_atom_site_fract_z
Na1 Na 0.0000 0.0000 0.0000
Li1 Li 0.3333 0.6667 0.1710
Sm1 Sm 0.0000 0.0000 0.5000
As1 As 0.3333 0.6667 0.7420
```

---

[5]
Here is an optimized crystal structure of LiMnPS4 from the Alexandria database. Energies are from PBE.

Computed properties:
- Formation energy without anion corrections: -0.478 eV per atom
- ρ: 2.721 g/cm3

CIF file:
```
data_LiMnPS4
_cell_length_a 6.809
_cell_length_b 8.034
_cell_length_c 9.867
_cell_angle_alpha 90.00
_cell_angle_beta 90.00
_cell_angle_gamma 90.00
_space_group_name_H-M_alt 'I m m a'
_space_group_IT_number 74
_space_group_name_Hall '-I 2b 2'
loop_
_atom_site_label
_atom_site_type_symbol
_atom_site_fract_x
_atom_site_fract_y
_atom_site_fract_z
Li1 Li 0.000 0.000 0.000
Mn1 Mn 0.250 0.250 0.250
P1 P 0.000 0.250 0.613
S1 S 0.000 0.053 0.245
S2 S 0.248 0.250 0.494
```

---

[6]
Here is an optimized crystal structure of ScTlCr2 from the Alexandria database. Energies are from PBE.

Computed properties:
- Uncorrected energy: -6.3392 eV per atom
- ρ: 7.357 g/cm3

CIF file:
```
data_ScTlCr2
_cell_length_a 3.1418
_cell_length_b 3.1418
_cell_length_c 27.9885
_cell_angle_alpha 90.00
_cell_angle_beta 90.00
_cell_angle_gamma 120.00
_space_group_name_H-M_alt 'R -3 m'
_space_group_IT_number 166
_space_group_name_Hall '-R 3 2"'
loop_
_atom_site_label
_atom_site_type_symbol
_atom_site_fract_x
_atom_site_fract_y
_atom_site_fract_z
Sc1 Sc 0.0000 0.0000 0.0000
Tl1 Tl 0.0000 0.0000 0.5000
Cr1 Cr 0.0000 0.0000 0.2523
```

---

[7]
Here is an optimized crystal structure of CrReTeI2 from the Alexandria database. Energies are from PBE.

Computed properties:
- Formation energy without anion corrections: 1.000 eV per atom
- ΔE to the lowest computed polymorph: 0 meV/atom
- ρ: 6.330 g/cm3

CIF file:
```
data_CrReTeI2
_cell_length_a 5.674
_cell_length_b 5.674
_cell_length_c 5.049
_cell_angle_alpha 90.00
_cell_angle_beta 90.00
_cell_angle_gamma 90.00
_space_group_name_H-M_alt 'P 4/m m m'
_space_group_IT_number 123
_space_group_name_Hall '-P 4 2'
loop_
_atom_site_label
_atom_site_type_symbol
_atom_site_fract_x
_atom_site_fract_y
_atom_site_fract_z
Cr1 Cr 0.000 0.000 0.000
Re1 Re 0.500 0.500 0.500
Te1 Te 0.500 0.500 0.000
I1 I 0.000 0.500 0.500
```

---

[8]
Here is an optimized crystal structure of K2SrSbH from the Alexandria database. Energies are from PBE.

Computed properties:
- Uncorrected energy: -2.7795 eV per atom
- ρ: 3.248 g/cm3

CIF file:
```
data_K2SrSbH
_cell_length_a 5.115
_cell_length_b 5.115
_cell_length_c 5.641
_cell_angle_alpha 90.00
_cell_angle_beta 90.00
_cell_angle_gamma 90.00
_space_group_name_H-M_alt 'P 4/m m m'
_space_group_IT_number 123
_space_group_name_Hall '-P 4 2'
loop_
_atom_site_label
_atom_site_type_symbol
_atom_site_fract_x
_atom_site_fract_y
_atom_site_fract_z
K1 K 0.000 0.500 0.000
Sr1 Sr 0.000 0.000 0.500
Sb1 Sb 0.500 0.500 0.500
H1 H 0.000 0.000 0.000
```

---

[9]
Here is an optimized crystal structure of Cs8K6Pt from the Alexandria database. Energies are from PBE.

Computed properties:
- Uncorrected energy: -1.3091 eV per atom
- ρ: 1.946 g/cm3

CIF file:
```
data_Cs8K6Pt
_cell_length_a 13.3597
_cell_length_b 13.3597
_cell_length_c 24.7291
_cell_angle_alpha 90.00
_cell_angle_beta 90.00
_cell_angle_gamma 120.00
_space_group_name_H-M_alt 'R -3'
_space_group_IT_number 148
_space_group_name_Hall '-R 3'
loop_
_atom_site_label
_atom_site_type_symbol
_atom_site_fract_x
_atom_site_fract_y
_atom_site_fract_z
Cs1 Cs 0.0000 0.0000 0.2393
Cs2 Cs 0.0399 0.8140 0.4237
K1 K 0.0626 0.8300 0.9234
Pt1 Pt 0.0000 0.0000 0.5000
```

---

[10]
Here is an optimized crystal structure of CeZrCuPd from the Alexandria database. Energies are from PBE.

Computed properties:
- Uncorrected energy: -6.1780 eV per atom
- ρ: 8.150 g/cm3

CIF file:
```
data_CeZrCuPd
_cell_length_a 6.890
_cell_length_b 6.890
_cell_length_c 6.890
_cell_angle_alpha 90.00
_cell_angle_beta 90.00
_cell_angle_gamma 90.00
_space_group_name_H-M_alt 'F -4 3 m'
_space_group_IT_number 216
_space_group_name_Hall 'F -4 2 3'
loop_
_atom_site_label
_atom_site_type_symbol
_atom_site_fract_x
_atom_site_fract_y
_atom_site_fract_z
Ce1 Ce 0.000 0.000 0.000
Zr1 Zr 0.000 0.000 0.500
Cu1 Cu 0.250 0.250 0.250
Pd1 Pd 0.250 0.250 0.750
```

---

[11]
Here is an optimized crystal structure of Er2ScBr from the Alexandria database. Energies are from PBE.

Computed properties:
- Formation energy without anion corrections: -0.153 eV per atom
- ρ: 6.839 g/cm3

CIF file:
```
data_Er2ScBr
_cell_length_a 3.3985
_cell_length_b 3.3985
_cell_length_c 33.4551
_cell_angle_alpha 90.00
_cell_angle_beta 90.00
_cell_angle_gamma 120.00
_space_group_name_H-M_alt 'R -3 m'
_space_group_IT_number 166
_space_group_name_Hall '-R 3 2"'
loop_
_atom_site_label
_atom_site_type_symbol
_atom_site_fract_x
_atom_site_fract_y
_atom_site_fract_z
Er1 Er 0.0000 0.0000 0.0956
Sc1 Sc 0.0000 0.0000 0.0000
Br1 Br 0.0000 0.0000 0.5000
```

---

[12]
Here is an optimized crystal structure of TbDyC from the Alexandria database. Energies are from PBE.

Computed properties:
- ΔE to the lowest computed polymorph: 20 meV/atom
- ρ: 7.929 g/cm3

CIF file:
```
data_TbDyC
_cell_length_a 3.5773
_cell_length_b 3.5773
_cell_length_c 6.3009
_cell_angle_alpha 90.00
_cell_angle_beta 90.00
_cell_angle_gamma 120.00
_space_group_name_H-M_alt 'P 3 m 1'
_space_group_IT_number 156
loop_
_space_group_symop_operation_xyz
'x,y,z'
'-y,x-y,z'
'-x+y,-x,z'
'-y,-x,z'
'-x+y,y,z'
'x,x-y,z'
loop_
_atom_site_label
_atom_site_type_symbol
_atom_site_fract_x
_atom_site_fract_y
_atom_site_fract_z
Tb1 Tb 0.0000 0.0000 0.0000
Dy1 Dy 0.3333 0.6667 0.5687
C1 C 0.6667 0.3333 0.7825
```